No. 1
Material: La2Te
Method: DFT, PBE
State: optimized geometry

Calculated values
- ΔE_f (raw) (eV per formula unit) = -2.51
- M_tot (Bohr magnetons per cell) = 0.00
- E (eV per atom) = -5.168
- calculated density (g/cm3) = 6.72
- density of states at the Fermi level (states/eV/cell) = 3.067

Cell lengths 6.5267, 6.5267, 6.5267 Å; angles 142.97, 142.97, 53.37 degrees
With the nearest neighbours (Å) after each atom.
Atoms (fractional coordinates):
La (0.1476, 0.1476, 0.0000)  4 Te 3.40, 5 La 3.44-3.78
La (0.8524, 0.8524, 0.0000)  4 Te 3.40, 5 La 3.44-3.78
Te (0.5000, 0.5000, 0.0000)  8 La 3.40

No. 2
Material: InPb2Au
Method: DFT, PBE
State: optimized geometry

Calculated values
- M_tot (Bohr magnetons per cell) = 0.00
- E (eV per atom) = -3.322
- calculated density (g/cm3) = 11.29
- formation energy from the elements (eV/atom) = 0.036
- density of states at the Fermi level (states/eV/cell) = 1.434

Cell lengths 5.3261, 5.3261, 5.3261 Å; angles 60.00, 60.00, 60.00 degrees
With the nearest neighbours (Å) after each atom.
Atoms (fractional coordinates):
In (0.0000, 0.0000, 0.0000)  4 Pb 3.26, 4 Au 3.26
Pb (0.2500, 0.2500, 0.2500)  4 Pb 3.26, 4 In 3.26
Pb (0.5000, 0.5000, 0.5000)  4 Au 3.26, 4 Pb 3.26
Au (0.7500, 0.7500, 0.7500)  4 Pb 3.26, 4 In 3.26

No. 3
Material: Ca4Sb2I3
Method: DFT, PBE
State: optimized geometry

Calculated values
- ΔE_f (raw) (eV per formula unit) = -11.03
- M_tot (Bohr magnetons per cell) = 0.00
- E (eV per atom) = -3.548
- calculated density (g/cm3) = 3.81
- density of states at the Fermi level (states/eV/cell) = 4.635

Cell lengths 4.4870, 4.4870, 19.5929 Å; angles 90.05, 90.05, 60.00 degrees
With the nearest neighbours (Å) after each atom.
Atoms (fractional coordinates):
Ca (0.0008, 0.0008, 0.3033)  3 I 3.14, 3 Sb 3.26
Ca (0.3337, 0.3337, 0.1158)  3 Sb 3.09, 3 I 3.44
Ca (0.6663, 0.6663, 0.8842)  3 Sb 3.09, 3 I 3.44
Ca (0.9992, 0.9992, 0.6967)  3 I 3.14, 3 Sb 3.26
Sb (0.3328, 0.3328, 0.7979)  6 Ca 3.09-3.26
Sb (0.6672, 0.6672, 0.2021)  6 Ca 3.09-3.26
I (0.0000, 0.0000, 0.0000)  6 Ca 3.44
I (0.3344, 0.3344, 0.3940)  3 Ca 3.14
I (0.6656, 0.6656, 0.6060)  3 Ca 3.14

No. 4
Material: MgPIrS2
Method: DFT, PBE
State: optimized geometry

Calculated values
- ΔE_f (raw) (eV per formula unit) = 5.98
- M_tot (Bohr magnetons per cell) = 0.00
- E (eV per atom) = -3.628
- calculated density (g/cm3) = 5.31
- density of states at the Fermi level (states/eV/cell) = 5.140

Cell lengths 4.5759, 4.5759, 4.6540 Å; angles 90.00, 90.00, 90.00 degrees
With the nearest neighbours (Å) after each atom.
Atoms (fractional coordinates):
Mg (0.0000, 0.0000, 0.0000)  4 S 2.29, 2 P 2.33
P (0.0000, 0.0000, 0.5000)  2 Mg 2.33
Ir (0.5000, 0.5000, 0.5000)  4 P 3.24, 8 S 3.26
S (0.0000, 0.5000, 0.0000)  2 Mg 2.29
S (0.5000, 0.0000, 0.0000)  2 Mg 2.29

Q: Which formula does entry 4 have?
A: MgPIrS2

Q: Among the records above, which one has the lowest density of states at the Fermi level?
A: InPb2Au

Repeat the first record exactly.
Material: La2Te
Method: DFT, PBE
State: optimized geometry

Calculated values
- ΔE_f (raw) (eV per formula unit) = -2.51
- M_tot (Bohr magnetons per cell) = 0.00
- E (eV per atom) = -5.168
- calculated density (g/cm3) = 6.72
- density of states at the Fermi level (states/eV/cell) = 3.067

Cell lengths 6.5267, 6.5267, 6.5267 Å; angles 142.97, 142.97, 53.37 degrees
With the nearest neighbours (Å) after each atom.
Atoms (fractional coordinates):
La (0.1476, 0.1476, 0.0000)  4 Te 3.40, 5 La 3.44-3.78
La (0.8524, 0.8524, 0.0000)  4 Te 3.40, 5 La 3.44-3.78
Te (0.5000, 0.5000, 0.0000)  8 La 3.40